Version A
A relaxed Sc2MnOs crystal, computed with PBE.

The space group is I-42d (No. 122) and the conventional cell measures 7.2699, 7.2699 and 5.6835 Å, with angles of 90.00, 90.00 and 90.00 degrees. Symmetry generates all atoms from Sc at (0.2305, 0.2500, 0.1250), Mn at (0.0000, 0.0000, 0.5000) and Os at (0.0000, 0.0000, 0.0000).

Its theoretical density is 7.409 g/cm³. For the density of states at the Fermi level, the calculation gives 16.19 states/eV/cell.

***

Version B
A relaxed Sc2MnOs crystal, computed with PBE.

The space group is I-4m2 (No. 119) and the conventional cell measures 3.9070, 3.9070 and 9.0868 Å, with angles of 90.00, 90.00 and 90.00 degrees. Symmetry generates all atoms from Sc at (0.0000, 0.0000, 0.0000), Sc at (0.0000, 0.5000, 0.2500), Mn at (0.0000, 0.5000, 0.7500) and Os at (0.0000, 0.0000, 0.5000).

Its theoretical density is 8.023 g/cm³. For the density of states at the Fermi level, the calculation gives 8.34 states/eV/cell.

***

Version C
A relaxed Sc2MnOs crystal, computed with PBE.

The space group is P4mm (No. 99) and the conventional cell measures 2.9195, 2.9195 and 8.2356 Å, with angles of 90.00, 90.00 and 90.00 degrees. Symmetry generates all atoms from Sc at (0.0000, 0.0000, 0.0000), Sc at (0.5000, 0.5000, 0.3621), Mn at (0.0000, 0.0000, 0.5893) and Os at (0.5000, 0.5000, 0.7594).

Its theoretical density is 7.926 g/cm³. For the density of states at the Fermi level, the calculation gives 2.67 states/eV/cell.

***

Version D
A relaxed Sc2MnOs crystal, computed with PBE.

The space group is Pmm2 (No. 25) and the conventional cell measures 2.9651, 4.2826 and 5.5119 Å, with angles of 90.00, 90.00 and 90.00 degrees. Symmetry generates all atoms from Sc at (0.0000, 0.0000, 0.0000), Sc at (0.5000, 0.5000, 0.3174), Mn at (0.0000, 0.0000, 0.5353) and Os at (0.5000, 0.5000, 0.8004).

Its theoretical density is 7.950 g/cm³. For the density of states at the Fermi level, the calculation gives 3.96 states/eV/cell.

***

The winner here is version C, beating the second structure by 73 meV/atom.

***

Version A
A relaxed ScMn3Os crystal, computed with PBE.

The space group is Pm-3m (No. 221) and the conventional cell measures 4.1711, 4.1711 and 4.1711 Å, with angles of 90.00, 90.00 and 90.00 degrees. Symmetry generates all atoms from Sc at (0.0000, 0.0000, 0.0000), Mn at (0.0000, 0.0000, 0.5000) and Os at (0.5000, 0.5000, 0.5000).

Its theoretical density is 9.153 g/cm³. For the density of states at the Fermi level, the calculation gives 10.27 states/eV/cell.

***

Version B
A relaxed ScMn3Os crystal, computed with PBE.

The space group is Pm-3m (No. 221) and the conventional cell measures 4.6001, 4.6001 and 4.6001 Å, with angles of 90.00, 90.00 and 90.00 degrees. Symmetry generates all atoms from Sc at (0.0000, 0.0000, 0.0000), Mn at (0.0000, 0.5000, 0.5000) and Os at (0.5000, 0.5000, 0.5000).

Its theoretical density is 6.823 g/cm³. For the density of states at the Fermi level, the calculation gives 10.71 states/eV/cell.

***

The winner here is version B, beating the second structure by 1113 meV/atom.

***

Version A
A relaxed ScMn2Os2 crystal, computed with PBE.

The space group is P4/mbm (No. 127) and the conventional cell measures 7.3384, 7.3384 and 2.6888 Å, with angles of 90.00, 90.00 and 90.00 degrees. Symmetry generates all atoms from Sc at (0.0000, 0.0000, 0.0000), Mn at (0.1668, 0.3332, 0.5000) and Os at (0.1279, 0.6279, 0.0000).

Its theoretical density is 12.278 g/cm³. For the density of states at the Fermi level, the calculation gives 11.96 states/eV/cell.

***

Version B
A relaxed ScMn2Os2 crystal, computed with PBE.

The space group is P4/mbm (No. 127) and the conventional cell measures 7.2780, 7.2780 and 2.6886 Å, with angles of 90.00, 90.00 and 90.00 degrees. Symmetry generates all atoms from Sc at (0.0000, 0.0000, 0.0000), Mn at (0.1182, 0.3818, 0.0000) and Os at (0.1726, 0.6726, 0.5000).

Its theoretical density is 12.483 g/cm³. For the density of states at the Fermi level, the calculation gives 15.59 states/eV/cell.

***

The winner here is version B, beating the second structure by 54 meV/atom.

***

Version A
A relaxed MnOsSe2 crystal, computed with PBE.

The space group is I-42d (No. 122) and the conventional cell measures 5.3963, 5.3963 and 10.8272 Å, with angles of 90.00, 90.00 and 90.00 degrees. Symmetry generates all atoms from Mn at (0.0000, 0.0000, 0.0000), Os at (0.0000, 0.0000, 0.5000) and Se at (0.2338, 0.2500, 0.1250).

Its theoretical density is 8.492 g/cm³. For the density of states at the Fermi level, the calculation gives 8.57 states/eV/cell.

***

Version B
A relaxed MnOsSe2 crystal, computed with PBE.

The space group is C2/m (No. 12) and the conventional cell measures 7.2698, 3.3384 and 6.0981 Å, with angles of 90.00, 105.90 and 90.00 degrees. Symmetry generates all atoms from Mn at (0.0000, 0.0000, 0.0000), Os at (0.0000, 0.5000, 0.5000) and Se at (0.2477, 0.5000, 0.2722).

Its theoretical density is 9.405 g/cm³. For the density of states at the Fermi level, the calculation gives 5.77 states/eV/cell.

***

The winner here is version B, beating the second structure by 84 meV/atom.

***

Version A
A relaxed Mn4SiOs crystal, computed with PBE.

The space group is Cmmm (No. 65) and the conventional cell measures 2.9395, 12.2476 and 3.9922 Å, with angles of 90.00, 90.00 and 90.00 degrees. Symmetry generates all atoms from Mn at (0.0000, 0.1697, 0.0000), Mn at (0.0000, 0.3291, 0.5000), Si at (0.0000, 0.0000, 0.5000) and Os at (0.0000, 0.5000, 0.0000).

Its theoretical density is 10.122 g/cm³. For the density of states at the Fermi level, the calculation gives 10.37 states/eV/cell.

***

Version B
A relaxed Mn4SiOs crystal, computed with PBE.

The space group is F-43m (No. 216) and the conventional cell measures 6.5488, 6.5488 and 6.5488 Å, with angles of 90.00, 90.00 and 90.00 degrees. Symmetry generates all atoms from Mn at (0.1229, 0.1229, 0.3771), Si at (0.2500, 0.2500, 0.7500) and Os at (0.0000, 0.0000, 0.0000).

Its theoretical density is 10.360 g/cm³. For the density of states at the Fermi level, the calculation gives 30.27 states/eV/cell.

***

The winner here is version A, beating the second structure by 238 meV/atom.

***

Version A
A relaxed MnSiOs3 crystal, computed with PBE.

The space group is Pm-3m (No. 221) and the conventional cell measures 4.3281, 4.3281 and 4.3281 Å, with angles of 90.00, 90.00 and 90.00 degrees. Symmetry generates all atoms from Mn at (0.0000, 0.0000, 0.0000), Si at (0.5000, 0.5000, 0.5000) and Os at (0.0000, 0.5000, 0.5000).

Its theoretical density is 13.388 g/cm³. For the density of states at the Fermi level, the calculation gives 7.63 states/eV/cell.

***

Version B
A relaxed MnSiOs3 crystal, computed with PBE.

The space group is Pm-3m (No. 221) and the conventional cell measures 4.4088, 4.4088 and 4.4088 Å, with angles of 90.00, 90.00 and 90.00 degrees. Symmetry generates all atoms from Mn at (0.0000, 0.0000, 0.0000), Si at (0.5000, 0.5000, 0.5000) and Os at (0.0000, 0.0000, 0.5000).

Its theoretical density is 12.667 g/cm³. For the density of states at the Fermi level, the calculation gives 5.48 states/eV/cell.

***

The winner here is version A, beating the second structure by 308 meV/atom.